Version w
{"formula": "BeSe2Br", "functional": "PBE", "state": "optimized geometry", "volume_a3_per_atom": 21.2, "cell": [[3.151, 0.000, 0.000], [0.000, 3.151, 0.000], [0.000, 0.000, 8.523]], "species": ["Be", "Se", "Se", "Br"], "frac_coords": [[0.000, 0.000, 0.468], [0.000, 0.000, 0.072], [0.500, 0.500, 0.304], [0.500, 0.500, 0.655]]}

---

Version x
{"formula": "BeSe2Br", "functional": "PBE", "state": "optimized geometry", "volume_a3_per_atom": 21.8, "cell": [[2.094, 0.000, 7.668], [-1.047, 1.813, 7.668], [-1.047, -1.813, 7.668]], "species": ["Be", "Se", "Se", "Br"], "frac_coords": [[0.500, 0.500, 0.500], [0.887, 0.887, 0.887], [0.113, 0.113, 0.113], [0.000, 0.000, 0.000]]}

---

Version y
{"formula": "BeSe2Br", "functional": "PBE", "state": "optimized geometry", "volume_a3_per_atom": 24.1, "cell": [[3.990, -0.020, 0.000], [-2.435, 3.161, 0.000], [0.000, 0.000, 7.669]], "species": ["Be", "Se", "Se", "Br"], "frac_coords": [[0.500, 0.500, 0.250], [0.000, 0.000, 0.074], [0.000, 0.000, 0.426], [0.500, 0.500, 0.750]]}

---

Version z
{"formula": "BeSe2Br", "functional": "PBE", "state": "optimized geometry", "volume_a3_per_atom": 29.3, "cell": [[-6.769, -4.560, 4.258], [-6.270, -6.729, -0.388], [8.241, 3.986, -0.976]], "species": ["Be", "Se", "Se", "Br"], "frac_coords": [[0.500, 0.500, 0.000], [0.000, 0.000, 0.000], [0.250, 0.750, 0.500], [0.750, 0.250, 0.500]]}

---

Energy ordering: version x at the bottom, the next structure 0.104 eV/atom above.

---

Version w
{"formula": "BeSeBr", "functional": "PBE", "state": "optimized geometry", "volume_a3_per_atom": 26.2, "cell": [[-3.321, 4.708, -3.332], [1.560, -0.565, -9.000], [-6.755, -4.051, -5.637]], "species": ["Be", "Be", "Be", "Be", "Be", "Be", "Se", "Se", "Se", "Se", "Se", "Se", "Br", "Br", "Br", "Br", "Br", "Br"], "frac_coords": [[0.959, 0.759, 0.217], [0.545, 0.195, 0.180], [0.080, 0.695, 0.680], [0.910, 0.315, 0.365], [0.410, 0.815, 0.865], [0.065, 0.259, 0.717], [0.707, 0.990, 0.091], [0.291, 0.661, 0.114], [0.027, 0.772, 0.428], [0.213, 0.490, 0.591], [0.934, 0.161, 0.614], [0.773, 0.272, 0.928], [0.738, 0.585, 0.317], [0.192, 0.277, 0.170], [0.361, 0.777, 0.670], [0.642, 0.196, 0.368], [0.794, 0.696, 0.868], [0.361, 0.085, 0.817]]}

---

Version x
{"formula": "BeSeBr", "functional": "PBE", "state": "optimized geometry", "volume_a3_per_atom": 20.5, "cell": [[4.433, 0.000, 0.000], [2.217, 3.839, 0.000], [2.217, 1.280, 3.620]], "species": ["Be", "Se", "Br"], "frac_coords": [[0.250, 0.250, 0.250], [0.500, 0.500, 0.500], [0.000, 0.000, 0.000]]}

---

Energy ordering: version w at the bottom, the next structure 0.855 eV/atom above.

---

Version w
{"formula": "BeSiSe2Br", "functional": "PBE", "state": "optimized geometry", "volume_a3_per_atom": 20.4, "cell": [[4.635, 0.000, 0.000], [0.000, 4.635, 0.000], [0.000, 0.000, 4.751]], "species": ["Be", "Si", "Se", "Se", "Br"], "frac_coords": [[0.000, 0.000, 0.000], [0.500, 0.500, 0.500], [0.000, 0.500, 0.000], [0.500, 0.000, 0.000], [0.000, 0.000, 0.500]]}

---

Version x
{"formula": "BeSiSe2Br", "functional": "PBE", "state": "optimized geometry", "volume_a3_per_atom": 23.4, "cell": [[4.851, 0.000, 0.000], [0.000, 4.851, 0.000], [0.000, 0.000, 4.965]], "species": ["Be", "Si", "Se", "Se", "Br"], "frac_coords": [[0.500, 0.500, 0.500], [0.000, 0.000, 0.000], [0.000, 0.500, 0.000], [0.500, 0.000, 0.000], [0.000, 0.000, 0.500]]}

---

Energy ordering: version w at the bottom, the next structure 0.296 eV/atom above.

---

Version w
{"formula": "SrBeSe2Br", "functional": "PBE", "state": "optimized geometry", "volume_a3_per_atom": 23.6, "cell": [[-0.231, -4.549, -0.885], [-0.546, -0.854, 4.528], [-5.428, 0.388, -0.582]], "species": ["Sr", "Se", "Se", "Br", "Be"], "frac_coords": [[0.500, 0.500, 0.500], [0.000, 0.500, 0.000], [0.500, 0.000, 0.000], [0.000, 0.000, 0.500], [0.000, 0.000, 0.000]]}

---

Version x
{"formula": "SrBeSe2Br", "functional": "PBE", "state": "optimized geometry", "volume_a3_per_atom": 43.1, "cell": [[6.056, 0.000, 0.000], [0.000, 6.056, 0.000], [0.000, 0.000, 5.875]], "species": ["Sr", "Se", "Se", "Br", "Be"], "frac_coords": [[0.000, 0.000, 0.000], [0.000, 0.500, 0.000], [0.500, 0.000, 0.000], [0.000, 0.000, 0.500], [0.500, 0.500, 0.500]]}

---

Energy ordering: version w at the bottom, the next structure 1.248 eV/atom above.

---

Version w
{"formula": "SrBeSeBr2", "functional": "PBE", "state": "optimized geometry", "volume_a3_per_atom": 43.5, "cell": [[5.920, 0.000, 0.000], [0.000, 5.920, 0.000], [0.000, 0.000, 6.204]], "species": ["Sr", "Se", "Br", "Br", "Be"], "frac_coords": [[0.000, 0.000, 0.000], [0.000, 0.000, 0.500], [0.000, 0.500, 0.000], [0.500, 0.000, 0.000], [0.500, 0.500, 0.500]]}

---

Version x
{"formula": "SrBeSeBr2", "functional": "PBE", "state": "optimized geometry", "volume_a3_per_atom": 24.0, "cell": [[-0.353, -4.355, -2.255], [-1.305, -2.096, 4.251], [-4.773, 0.913, -1.016]], "species": ["Sr", "Se", "Br", "Br", "Be"], "frac_coords": [[0.500, 0.500, 0.500], [0.000, 0.000, 0.500], [0.000, 0.500, 0.000], [0.500, 0.000, 0.000], [0.000, 0.000, 0.000]]}

---

Energy ordering: version x at the bottom, the next structure 0.989 eV/atom above.

---

Version w
{"formula": "TaBeSe2Br", "functional": "PBE", "state": "optimized geometry", "volume_a3_per_atom": 26.3, "cell": [[-1.465, 0.041, -4.799], [-4.365, -2.097, 1.315], [-2.078, 4.749, 0.674]], "species": ["Be", "Se", "Se", "Br", "Ta"], "frac_coords": [[0.500, 0.500, 0.500], [0.000, 0.500, 0.000], [0.500, 0.000, 0.000], [0.000, 0.000, 0.500], [0.000, 0.000, 0.000]]}

---

Version x
{"formula": "TaBeSe2Br", "functional": "PBE", "state": "optimized geometry", "volume_a3_per_atom": 19.3, "cell": [[4.639, 0.000, 0.000], [0.000, 4.639, 0.000], [0.000, 0.000, 4.482]], "species": ["Be", "Se", "Se", "Br", "Ta"], "frac_coords": [[0.000, 0.000, 0.000], [0.000, 0.500, 0.000], [0.500, 0.000, 0.000], [0.000, 0.000, 0.500], [0.500, 0.500, 0.500]]}

---

Energy ordering: version w at the bottom, the next structure 0.192 eV/atom above.

---

Version w
{"formula": "TaBeSeBr2", "functional": "PBE", "state": "optimized geometry", "volume_a3_per_atom": 27.0, "cell": [[5.199, 0.000, 0.000], [0.000, 5.199, 0.000], [0.000, 0.000, 4.996]], "species": ["Be", "Se", "Br", "Br", "Ta"], "frac_coords": [[0.500, 0.500, 0.500], [0.000, 0.000, 0.500], [0.000, 0.500, 0.000], [0.500, 0.000, 0.000], [0.000, 0.000, 0.000]]}

---

Version x
{"formula": "TaBeSeBr2", "functional": "PBE", "state": "optimized geometry", "volume_a3_per_atom": 20.4, "cell": [[4.581, 0.000, 0.000], [0.000, 4.581, 0.000], [0.000, 0.000, 4.872]], "species": ["Be", "Se", "Br", "Br", "Ta"], "frac_coords": [[0.000, 0.000, 0.000], [0.000, 0.000, 0.500], [0.000, 0.500, 0.000], [0.500, 0.000, 0.000], [0.500, 0.500, 0.500]]}

---

Energy ordering: version w at the bottom, the next structure 0.215 eV/atom above.

---

Version w
{"formula": "BeTcSeBr2", "functional": "PBE", "state": "optimized geometry", "volume_a3_per_atom": 25.8, "cell": [[5.216, 0.000, 0.000], [0.000, 5.216, 0.000], [0.000, 0.000, 4.735]], "species": ["Be", "Se", "Tc", "Br", "Br"], "frac_coords": [[0.500, 0.500, 0.500], [0.000, 0.000, 0.500], [0.000, 0.000, 0.000], [0.000, 0.500, 0.000], [0.500, 0.000, 0.000]]}

---

Version x
{"formula": "BeTcSeBr2", "functional": "PBE", "state": "optimized geometry", "volume_a3_per_atom": 22.3, "cell": [[-1.709, 3.743, -2.059], [1.949, -1.291, -3.963], [-4.344, -2.679, -1.264]], "species": ["Be", "Se", "Tc", "Br", "Br"], "frac_coords": [[0.000, 0.000, 0.000], [0.000, 0.000, 0.500], [0.500, 0.500, 0.500], [0.000, 0.500, 0.000], [0.500, 0.000, 0.000]]}

---

Energy ordering: version x at the bottom, the next structure 0.136 eV/atom above.

---

Version w
{"formula": "TiBeSeBr2", "functional": "PBE", "state": "optimized geometry", "volume_a3_per_atom": 26.1, "cell": [[-1.310, -4.675, -1.709], [3.177, 0.575, -4.008], [3.672, -1.989, 2.625]], "species": ["Be", "Se", "Br", "Br", "Ti"], "frac_coords": [[0.500, 0.500, 0.500], [0.000, 0.000, 0.500], [0.000, 0.500, 0.000], [0.500, 0.000, 0.000], [0.000, 0.000, 0.000]]}

---

Version x
{"formula": "TiBeSeBr2", "functional": "PBE", "state": "optimized geometry", "volume_a3_per_atom": 21.6, "cell": [[-1.413, -1.968, -3.961], [-2.133, -3.340, 2.420], [-4.185, 2.761, 0.121]], "species": ["Be", "Se", "Br", "Br", "Ti"], "frac_coords": [[0.000, 0.000, 0.000], [0.000, 0.000, 0.500], [0.000, 0.500, 0.000], [0.500, 0.000, 0.000], [0.500, 0.500, 0.500]]}

---

Energy ordering: version x at the bottom, the next structure 0.009 eV/atom above.

---

Version w
{"formula": "BeTlSeBr2", "functional": "PBE", "state": "optimized geometry", "volume_a3_per_atom": 34.3, "cell": [[-3.610, 0.287, 4.267], [-4.270, 0.079, -3.618], [-0.241, -5.474, 0.165]], "species": ["Be", "Tl", "Se", "Br", "Br"], "frac_coords": [[0.500, 0.500, 0.500], [0.000, 0.000, 0.000], [0.000, 0.000, 0.500], [0.000, 0.500, 0.000], [0.500, 0.000, 0.000]]}

---

Version x
{"formula": "BeTlSeBr2", "functional": "PBE", "state": "optimized geometry", "volume_a3_per_atom": 24.6, "cell": [[5.160, 0.000, 0.000], [0.000, 5.160, 0.000], [0.000, 0.000, 4.619]], "species": ["Be", "Tl", "Se", "Br", "Br"], "frac_coords": [[0.000, 0.000, 0.000], [0.500, 0.500, 0.500], [0.000, 0.000, 0.500], [0.000, 0.500, 0.000], [0.500, 0.000, 0.000]]}

---

Energy ordering: version x at the bottom, the next structure 0.964 eV/atom above.

---

Version w
{"formula": "BeVSe2Br", "functional": "PBE", "state": "optimized geometry", "volume_a3_per_atom": 20.2, "cell": [[-4.243, -1.569, 0.707], [1.687, -4.163, 0.887], [0.356, 1.137, 4.659]], "species": ["Be", "Se", "Se", "Br", "V"], "frac_coords": [[0.000, 0.000, 0.000], [0.000, 0.500, 0.000], [0.500, 0.000, 0.000], [0.000, 0.000, 0.500], [0.500, 0.500, 0.500]]}

---

Version x
{"formula": "BeVSe2Br", "functional": "PBE", "state": "optimized geometry", "volume_a3_per_atom": 23.5, "cell": [[4.751, 0.000, 0.000], [0.000, 4.751, 0.000], [0.000, 0.000, 5.207]], "species": ["Be", "Se", "Se", "Br", "V"], "frac_coords": [[0.500, 0.500, 0.500], [0.000, 0.500, 0.000], [0.500, 0.000, 0.000], [0.000, 0.000, 0.500], [0.000, 0.000, 0.000]]}

---

Energy ordering: version w at the bottom, the next structure 0.109 eV/atom above.

---

Version w
{"formula": "BeWSe2Br", "functional": "PBE", "state": "optimized geometry", "volume_a3_per_atom": 25.5, "cell": [[-4.381, 2.115, -0.543], [-2.156, -3.994, 1.834], [0.380, 2.042, 4.894]], "species": ["Be", "Se", "Se", "Br", "W"], "frac_coords": [[0.500, 0.500, 0.500], [0.000, 0.500, 0.000], [0.500, 0.000, 0.000], [0.000, 0.000, 0.500], [0.000, 0.000, 0.000]]}

---

Version x
{"formula": "BeWSe2Br", "functional": "PBE", "state": "optimized geometry", "volume_a3_per_atom": 19.5, "cell": [[4.672, 0.000, 0.000], [0.000, 4.672, 0.000], [0.000, 0.000, 4.467]], "species": ["Be", "Se", "Se", "Br", "W"], "frac_coords": [[0.000, 0.000, 0.000], [0.000, 0.500, 0.000], [0.500, 0.000, 0.000], [0.000, 0.000, 0.500], [0.500, 0.500, 0.500]]}

---

Energy ordering: version w at the bottom, the next structure 0.167 eV/atom above.